No. 1
{"formula": "B5C7", "functional": "GGA-PBE", "state": "optimized geometry", "cell": [[-2.1055, 0.6271, 1.4250], [1.7875, -1.0147, 3.0875], [2.9791, 7.8865, 0.9312]], "species": ["B", "B", "B", "B", "B", "C", "C", "C", "C", "C", "C", "C"], "frac_coords": [[0.5000, 0.4876, 0.2164], [0.0000, 0.2334, 0.1388], [0.5000, 0.7865, 0.9536], [0.0000, 0.2948, 0.5434], [0.0000, 0.9233, 0.3024], [0.0000, 0.0125, 0.9800], [0.5000, 0.5140, 0.5132], [0.5000, 0.7469, 0.3631], [0.5000, 0.4935, 0.8204], [0.0000, 0.2560, 0.8226], [0.0000, 0.9948, 0.6733], [0.5000, 0.7566, 0.6729]], "delta_e_f_ev_per_atom": 0.381}

No. 2
{"formula": "CdAsSe2N", "functional": "GGA-PBE", "state": "optimized geometry", "cell": [[4.6798, 0.0000, 0.0000], [0.0000, 4.6798, 0.0000], [0.0000, 0.0000, 4.2387]], "species": ["As", "N", "Se", "Se", "Cd"], "frac_coords": [[0.0000, 0.0000, 0.5000], [0.0000, 0.0000, 0.0000], [0.0000, 0.5000, 0.0000], [0.5000, 0.0000, 0.0000], [0.5000, 0.5000, 0.5000]], "raw_formation_energy_mev_per_atom": 770.6}

No. 3
{"formula": "LiInSn", "functional": "GGA-PBE", "state": "optimized geometry", "cell": [[4.5109, 0.0000, 0.0000], [0.0000, 6.8594, 0.0000], [0.0000, 0.0000, 4.5046]], "species": ["Li", "Li", "Sn", "Sn", "In", "In"], "frac_coords": [[0.0000, 0.5001, 0.0000], [0.5000, 0.4999, 0.5000], [0.0000, 0.7783, 0.5000], [0.5000, 0.2217, 0.0000], [0.0000, 0.2074, 0.5000], [0.5000, 0.7926, 0.0000]], "delta_e_f_ev_per_atom": -0.193}

No. 4
{"formula": "SrAc2S4", "functional": "GGA-PBE", "state": "optimized geometry", "cell": [[8.3203, 0.0000, 0.5498], [0.0000, 7.6752, 0.0000], [-2.4686, 0.0000, 7.7086]], "species": ["Sr", "Sr", "Ac", "Ac", "Ac", "Ac", "S", "S", "S", "S", "S", "S", "S", "S"], "frac_coords": [[0.1585, 0.7500, 0.1680], [0.8415, 0.2500, 0.8320], [0.6467, 0.7500, 0.0353], [0.3533, 0.2500, 0.9647], [0.3309, 0.2500, 0.4609], [0.6691, 0.7500, 0.5391], [0.4671, 0.5170, 0.2466], [0.9144, 0.7500, 0.8598], [0.0856, 0.2500, 0.1402], [0.4671, 0.9830, 0.2466], [0.0957, 0.2500, 0.6606], [0.5329, 0.0170, 0.7534], [0.5329, 0.4830, 0.7534], [0.9043, 0.7500, 0.3394]], "raw_formation_energy_mev_per_atom": -1927.8}

No. 5
{"formula": "ScAl2CdH", "functional": "GGA-PBE", "state": "optimized geometry", "cell": [[4.3036, 0.0000, 0.0000], [0.0000, 4.3036, 0.0000], [0.0000, 0.0000, 4.1640]], "species": ["Sc", "H", "Al", "Al", "Cd"], "frac_coords": [[0.0000, 0.0000, 0.5000], [0.0000, 0.0000, 0.0000], [0.0000, 0.5000, 0.0000], [0.5000, 0.0000, 0.0000], [0.5000, 0.5000, 0.5000]]}

No. 6
{"formula": "YRu3I", "functional": "GGA-PBE", "state": "optimized geometry", "cell": [[-0.6105, 4.8017, 1.3789], [-4.9955, -0.6008, -0.1196], [0.0505, -1.3832, 4.8389]], "species": ["I", "Ru", "Ru", "Ru", "Y"], "frac_coords": [[0.5000, 0.5000, 0.5000], [0.0000, 0.5000, 0.0000], [0.0000, 0.0000, 0.5000], [0.5000, 0.0000, 0.0000], [0.0000, 0.0000, 0.0000]], "raw_formation_energy_mev_per_atom": 1945.9}

No. 7
{"formula": "LiHfTc2Os", "functional": "GGA-PBE", "state": "optimized geometry", "cell": [[-3.6964, -3.0269, 0.5942], [3.0953, -3.6701, 0.5594], [0.1009, 0.8083, 4.7450]], "species": ["Hf", "Os", "Tc", "Tc", "Li"], "frac_coords": [[0.0000, 0.0000, 0.0000], [0.0000, 0.5000, 0.0000], [0.0000, 0.0000, 0.5000], [0.5000, 0.0000, 0.0000], [0.5000, 0.5000, 0.5000]], "delta_e_f_ev_per_atom": 1.851}

No. 8
{"formula": "CaPrTm4", "functional": "GGA-PBE", "state": "optimized geometry", "cell": [[6.6298, 0.0000, 0.0000], [3.3149, 5.7416, 0.0000], [3.3149, 1.9139, 5.4132]], "species": ["Pr", "Ca", "Tm", "Tm", "Tm", "Tm"], "frac_coords": [[0.0000, 0.0000, 0.0000], [0.2500, 0.2500, 0.2500], [0.6260, 0.6260, 0.1220], [0.6260, 0.1220, 0.6260], [0.6260, 0.6260, 0.6260], [0.1220, 0.6260, 0.6260]], "delta_e_f_ev_per_atom": 0.223}

No. 9
{"formula": "TbNd3Dy12", "functional": "GGA-PBE", "state": "optimized geometry", "cell": [[5.0464, 0.0000, 0.0000], [0.0000, 5.0464, 0.0000], [0.0000, 0.0000, 20.1857]], "species": ["Tb", "Nd", "Nd", "Nd", "Dy", "Dy", "Dy", "Dy", "Dy", "Dy", "Dy", "Dy", "Dy", "Dy", "Dy", "Dy"], "frac_coords": [[0.0000, 0.0000, 0.0000], [0.0000, 0.0000, 0.2492], [0.0000, 0.0000, 0.5000], [0.0000, 0.0000, 0.7508], [0.5000, 0.5000, 0.0000], [0.5000, 0.5000, 0.2487], [0.5000, 0.5000, 0.5000], [0.5000, 0.5000, 0.7513], [0.5000, 0.0000, 0.1234], [0.5000, 0.0000, 0.3744], [0.5000, 0.0000, 0.6256], [0.5000, 0.0000, 0.8766], [0.0000, 0.5000, 0.1234], [0.0000, 0.5000, 0.3744], [0.0000, 0.5000, 0.6256], [0.0000, 0.5000, 0.8766]], "delta_e_f_ev_per_atom": 0.019}

No. 10
{"formula": "ReOs", "functional": "GGA-PBE", "state": "optimized geometry", "cell": [[-4.1783, -5.0076, 6.8309], [8.4617, -8.2600, -0.8793], [4.3808, 3.8983, 5.5374]], "species": ["Re", "Re", "Re", "Re", "Re", "Re", "Re", "Re", "Re", "Re", "Re", "Re", "Re", "Re", "Re", "Re", "Os", "Os", "Os", "Os", "Os", "Os", "Os", "Os", "Os", "Os", "Os", "Os", "Os", "Os", "Os", "Os"], "frac_coords": [[0.0000, 0.8304, 0.0000], [0.0000, 0.1696, 0.0000], [0.2500, 0.9196, 0.2500], [0.2500, 0.5804, 0.2500], [0.0000, 0.3304, 0.5000], [0.0000, 0.6696, 0.5000], [0.2500, 0.4196, 0.7500], [0.2500, 0.0804, 0.7500], [0.5000, 0.8304, 0.5000], [0.5000, 0.1696, 0.5000], [0.7500, 0.9196, 0.7500], [0.7500, 0.5804, 0.7500], [0.5000, 0.3304, 0.0000], [0.5000, 0.6696, 0.0000], [0.7500, 0.4196, 0.2500], [0.7500, 0.0804, 0.2500], [0.1482, 0.0000, 0.0000], [0.8518, 0.0000, 0.0000], [0.1018, 0.7500, 0.2500], [0.3982, 0.7500, 0.2500], [0.1482, 0.5000, 0.5000], [0.8518, 0.5000, 0.5000], [0.1018, 0.2500, 0.7500], [0.3982, 0.2500, 0.7500], [0.6482, 0.0000, 0.5000], [0.3518, 0.0000, 0.5000], [0.6018, 0.7500, 0.7500], [0.8982, 0.7500, 0.7500], [0.6482, 0.5000, 0.0000], [0.3518, 0.5000, 0.0000], [0.6018, 0.2500, 0.2500], [0.8982, 0.2500, 0.2500]], "delta_e_f_ev_per_atom": 1.773}

No. 11
{"formula": "KNaTe2Se4", "functional": "GGA-PBE", "state": "optimized geometry", "cell": [[-5.1791, -4.9417, 0.9462], [0.1087, -6.1922, -4.1932], [-0.2657, -3.7601, 6.4598]], "species": ["K", "Na", "Te", "Te", "Se", "Se", "Se", "Se"], "frac_coords": [[0.0000, 0.0000, 0.0000], [0.0000, 0.5000, 0.5000], [0.5000, 0.7506, 0.2494], [0.5000, 0.2494, 0.7506], [0.5363, 0.5719, 0.8912], [0.4637, 0.1088, 0.4281], [0.9994, 0.4281, 0.1088], [0.0006, 0.8912, 0.5719]], "raw_formation_energy_mev_per_atom": -435.0}

No. 12
{"formula": "LiTb2AlGa6", "functional": "GGA-PBE", "state": "optimized geometry", "cell": [[-1.4279, -4.7087, -4.2265], [5.5875, -3.5731, -0.6828], [1.9270, -9.1425, -0.1207]], "species": ["Li", "Tb", "Tb", "Al", "Ga", "Ga", "Ga", "Ga", "Ga", "Ga"], "frac_coords": [[0.5000, 0.5000, 0.0000], [0.2381, 0.7356, 0.5087], [0.7619, 0.2644, 0.4913], [0.0000, 0.0000, 0.0000], [0.2955, 0.7732, 0.1370], [0.8257, 0.6851, 0.9931], [0.2814, 0.2229, 0.4938], [0.7045, 0.2268, 0.8630], [0.1743, 0.3149, 0.0069], [0.7186, 0.7771, 0.5062]], "delta_e_f_ev_per_atom": -0.343}

No. 13
{"formula": "Rb2ErInSe4", "functional": "GGA-PBE", "state": "optimized geometry", "cell": [[8.8190, -0.0509, -0.0541], [-0.0571, 8.8190, -0.0541], [-4.3233, -4.3263, 6.2521]], "species": ["Rb", "Rb", "Rb", "Rb", "Er", "Er", "In", "In", "Se", "Se", "Se", "Se", "Se", "Se", "Se", "Se"], "frac_coords": [[0.5000, 0.0000, 0.0000], [0.5000, 0.0000, 0.5000], [0.0000, 0.0000, 0.5000], [0.5000, 0.5000, 0.0000], [0.0000, 0.5000, 0.0000], [0.0000, 0.5000, 0.5000], [0.5000, 0.5000, 0.5000], [0.0000, 0.0000, 0.0000], [0.1994, 0.7312, 0.9653], [0.7688, 0.3006, 0.5347], [0.2312, 0.6994, 0.4653], [0.8006, 0.2688, 0.0347], [0.7669, 0.7333, 0.9614], [0.7667, 0.7331, 0.5386], [0.2333, 0.2669, 0.4614], [0.2331, 0.2667, 0.0386]], "raw_formation_energy_mev_per_atom": -1190.5}

No. 14
{"formula": "AcBiBr2", "functional": "GGA-PBE", "state": "optimized geometry", "cell": [[-2.0069, -2.8649, 1.6590], [1.7838, -2.5009, 2.3562], [-2.2964, 4.7787, 9.9912]], "species": ["Ac", "Bi", "Br", "Br"], "frac_coords": [[0.5000, 0.5000, 0.5000], [0.0000, 0.0000, 0.0000], [0.0997, 0.0997, 0.7008], [0.9003, 0.9003, 0.2992]], "raw_formation_energy_mev_per_atom": -909.5}

No. 15
{"formula": "AcDyNbO6", "functional": "GGA-PBE", "state": "optimized geometry", "cell": [[-2.2640, 3.8102, -2.7037], [-2.8213, 1.2799, 4.1661], [7.5696, 6.6793, 3.0742]], "species": ["Ac", "Ac", "Dy", "Dy", "Nb", "Nb", "O", "O", "O", "O", "O", "O", "O", "O", "O", "O", "O", "O"], "frac_coords": [[0.5000, 0.5000, 0.5010], [0.0000, 0.0000, 0.0010], [0.5000, 0.5000, 0.8347], [0.0000, 0.0000, 0.3347], [0.5000, 0.5000, 0.1673], [0.0000, 0.0000, 0.6673], [0.1723, 0.8277, 0.5140], [0.8277, 0.1723, 0.5140], [0.3277, 0.3277, 0.0140], [0.6723, 0.6723, 0.0140], [0.2251, 0.7749, 0.1827], [0.7749, 0.2251, 0.1827], [0.2749, 0.2749, 0.6827], [0.7251, 0.7251, 0.6827], [0.8068, 0.1932, 0.8017], [0.1932, 0.8068, 0.8017], [0.6932, 0.6932, 0.3017], [0.3068, 0.3068, 0.3017]], "raw_formation_energy_mev_per_atom": -2839.9}

Number 1: E -7.7816 eV per atom. Number 2: E -3.4012 eV per atom. Number 3: E -3.0780 eV per atom. Number 4: E -5.7005 eV per atom. Number 5: E -3.7945 eV per atom. Number 6: E -5.2224 eV per atom. Number 7: E -6.9150 eV per atom. Number 8: E -3.8881 eV per atom. Number 9: E -4.6157 eV per atom. Number 10: E -10.0658 eV per atom. Number 11: E -3.2648 eV per atom. Number 12: E -3.6505 eV per atom. Number 13: E -4.0873 eV per atom. Number 14: E -3.7433 eV per atom. Number 15: E -8.2321 eV per atom.